Compound: Ta2BRuAu
Source: Alexandria
Functional: PBEsol
Structure: relaxed

It has space group P4/mmm (No. 123), with a = 4.293 Å, b = 4.293 Å, c = 4.029 Å, α = 90.00°, β = 90.00° and γ = 90.00°. The inequivalent atoms are Ta at (0.000, 0.500, 0.000), B at (0.000, 0.000, 0.000), Ru at (0.000, 0.000, 0.500) and Au at (0.500, 0.500, 0.500).

Its formation energy is -73 meV/atom. For the total energy, the calculation gives -46.6 eV per cell. The mass density is 15.00 g/cm³. The total magnetization comes out at 0.0 μB per formula unit.

Compound: BAuS3
Source: Alexandria
Functional: PBEsol
Structure: relaxed

It has space group Pm-3m (No. 221), with a = 4.149 Å, b = 4.149 Å, c = 4.149 Å, α = 90.00°, β = 90.00° and γ = 90.00°. The inequivalent atoms are B at (0.000, 0.000, 0.000), Au at (0.500, 0.500, 0.500) and S at (0.000, 0.000, 0.500).

For the total energy, the calculation gives -20.2 eV per cell. The mass density is 7.07 g/cm³. The total magnetization comes out at 0.0 μB per formula unit. As for the uncorrected formation energy: 74.9 kJ per mole of atoms.

Which of these has the highest mass density? Ta2BRuAu

Copy entry 2 word for word.
Compound: BAuS3
Source: Alexandria
Functional: PBEsol
Structure: relaxed

It has space group Pm-3m (No. 221), with a = 4.149 Å, b = 4.149 Å, c = 4.149 Å, α = 90.00°, β = 90.00° and γ = 90.00°. The inequivalent atoms are B at (0.000, 0.000, 0.000), Au at (0.500, 0.500, 0.500) and S at (0.000, 0.000, 0.500).

For the total energy, the calculation gives -20.2 eV per cell. The mass density is 7.07 g/cm³. The total magnetization comes out at 0.0 μB per formula unit. As for the uncorrected formation energy: 74.9 kJ per mole of atoms.